# 1
Material: AcTm3Zn4
Method: DFT, GGA-PBE
State: optimized geometry

Results
Calculated volume in A^3/atom: 23.78
SG: Pmma
Spin magnetization in μB/cell: 0.00
Formation enthalpy at 0 K in eV per atom: -0.276

a b c (Å): 5.1017 7.3046 10.2079
angles (deg): 90.00 90.00 90.00
Positions (direct):
Zn: 0.5000 0.2232 0.5000
Zn: 0.5000 0.2232 0.0000
Zn: 0.9990 0.7768 0.2500
Zn: 0.0010 0.7768 0.7500
Zn: 0.5000 0.7768 0.5000
Zn: 0.0010 0.2232 0.7500
Zn: 0.5000 0.7768 0.0000
Zn: 0.9990 0.2232 0.2500
Tm: 0.5007 0.0000 0.7500
Tm: 0.4996 0.5000 0.2500
Tm: 0.5004 0.5000 0.7500
Tm: 0.4993 0.0000 0.2500
Tm: 0.0000 0.0000 0.0000
Tm: 0.0000 0.0000 0.5000
Ac: 0.0000 0.5000 0.0000
Ac: 0.0000 0.5000 0.5000



# 2
Material: YPu2S4
Method: DFT, GGA-PBE
State: optimized geometry

Results
Calculated volume in A^3/atom: 23.63
SG: Cmcm
Spin magnetization in μB/cell: 21.90
Distance to the lowest polymorph of the same formula in kJ/mol of formula units: 20
Raw formation energy in eV/atom: -1.80

a b c (Å): 3.8523 6.8074 13.1543
angles (deg): 90.00 90.00 106.44
Last column: magnetic moment on the atom in μB.
Positions (direct):
Pu: 0.8676 0.7353 0.9310  5.25
Pu: 0.1324 0.2647 0.0690  5.25
Pu: 0.8676 0.7353 0.5690  5.25
Pu: 0.1324 0.2647 0.4310  5.25
S: 0.2236 0.4472 0.8756  -0.08
S: 0.9729 0.9458 0.7500  -0.06
S: 0.7764 0.5528 0.1244  -0.08
S: 0.7764 0.5528 0.3756  -0.08
S: 0.5000 0.0000 0.5000  -0.12
S: 0.5000 0.0000 0.0000  -0.12
S: 0.0271 0.0542 0.2500  -0.06
S: 0.2236 0.4472 0.6244  -0.08
Y: 0.3783 0.7566 0.2500  0.09
Y: 0.6217 0.2434 0.7500  0.09